# Na2CdIn5

A relaxed Na2CdIn5 crystal (PBE-GGA, Alexandria via LeMat-Bulk).

abc: 4.612 9.579 10.607
angles: 90.00 90.00 103.93
Sites, in units of the cell vectors:
Na: 0.815 0.630 0.750
Na: 0.185 0.370 0.250
Na: 0.000 0.000 0.000
Na: 0.000 0.000 0.500
Cd: 0.462 0.925 0.750
Cd: 0.538 0.075 0.250
In: 0.204 0.407 0.897
In: 0.796 0.593 0.103
In: 0.204 0.407 0.603
In: 0.796 0.593 0.397
In: 0.366 0.731 0.962
In: 0.634 0.269 0.038
In: 0.366 0.731 0.538
In: 0.634 0.269 0.462
In: 0.615 0.229 0.750
In: 0.385 0.771 0.250

## Properties
spin magnetization: 0.000 μB per atom
ΔE to the lowest computed polymorph: 0 meV/atom
formation energy: -0.0595 eV per atom
space group: Cmcm (63)
theoretical density: 5.35 g cm⁻³
total DFT energy (no corrections): -2.215 eV/atom